CaMoPbF6 (GGA+U, optimized geometry); SG = No. 163; calculated total energy = -95.0 eV for the cell shown
1.0
6.2010 0.0000 0.0000
-3.1005 5.3702 0.0000
0.0000 0.0000 9.2363
Ca Mo Pb F
2 2 2 12
direct
0.0000 0.0000 0.0000
0.0000 0.0000 0.5000
0.3333 0.6667 0.2500
0.6667 0.3333 0.7500
0.3333 0.6667 0.7500
0.6667 0.3333 0.2500
0.0616 0.3542 0.1284
0.0616 0.7075 0.3716
0.2925 0.3542 0.3716
0.2925 0.9384 0.1284
0.3542 0.0616 0.6284
0.3542 0.2925 0.8716
0.6458 0.7075 0.1284
0.6458 0.9384 0.3716
0.7075 0.0616 0.8716
0.7075 0.6458 0.6284
0.9384 0.2925 0.6284
0.9384 0.6458 0.8716